## P
10
Lattice="8.4548 -1.8421 0.0000 8.4548 1.8421 0.0000 -1.7790 0.0000 7.5407" Properties=species:S:1:pos:R:3 comment="Dy2Sc2CBr3Cl2 (GGA-PBE, relaxed)" m_tot_mub_per_cell=0.1 pbc="T T T"
Dy 2.2878 0.0000 0.5427
Dy 12.8428 0.0000 6.9980
Sc 8.0987 0.0000 1.4552
Sc 7.0318 0.0000 6.0856
C 0.0000 0.0000 0.0000
Br -0.8895 0.0000 3.7704
Br 4.5323 0.0000 4.8861
Br 10.5982 0.0000 2.6546
Cl 5.3479 0.0000 1.2918
Cl 9.7827 0.0000 6.2489

=====

## Q
10
Lattice="8.6626 -1.8403 0.0000 8.6626 1.8403 0.0000 -1.8090 0.0000 7.9007" Properties=species:S:1:pos:R:3 comment="Dy2Sc2CBr3Cl2 (GGA-PBE, relaxed)" m_tot_mub_per_cell=0.0 pbc="T T T"
Dy -0.3598 0.0000 1.5997
Dy 15.8759 0.0000 6.3010
Sc 4.6783 0.0000 7.3640
Sc 10.8379 0.0000 0.5367
C 8.6626 0.0000 0.0000
Br 1.4295 0.0000 6.6828
Br 7.7581 0.0000 3.9503
Br 14.0866 0.0000 1.2179
Cl 2.2571 0.0000 2.3604
Cl 13.2590 0.0000 5.5403

=====

## R
10
Lattice="8.6047 -1.8381 0.0000 8.6047 1.8381 0.0000 -1.7682 0.0000 7.4969" Properties=species:S:1:pos:R:3 comment="Dy2Sc2CBr3Cl2 (GGA-PBE, relaxed)" m_tot_mub_per_cell=0.1 pbc="T T T"
Dy 2.2825 0.0000 0.5833
Dy 13.1587 0.0000 6.9136
Sc 8.2670 0.0000 1.4613
Sc 7.1743 0.0000 6.0357
C 0.0000 0.0000 0.0000
Br -0.8841 0.0000 3.7485
Br 5.3905 0.0000 1.4069
Br 10.0507 0.0000 6.0900
Cl 4.7664 0.0000 4.9657
Cl 10.6748 0.0000 2.5312

=====

Short version: P is the least stable of them.

=====

## P
10
Lattice="8.9480 -1.8435 0.0000 8.9480 1.8435 0.0000 -1.6677 0.0000 7.6382" Properties=species:S:1:pos:R:3 comment="Dy2Sc2CBr4Cl (GGA-PBE, relaxed)" m_tot_mub_per_cell=0.1 pbc="T T T"
Dy -0.4715 0.0000 2.2115
Dy 16.6997 0.0000 5.4267
Sc 5.9326 0.0000 3.3194
Sc 10.2957 0.0000 4.3187
C 8.1141 0.0000 3.8191
Br 1.5465 0.0000 6.3170
Br 2.4184 0.0000 2.5845
Br 13.8099 0.0000 5.0536
Br 14.6818 0.0000 1.3211
Cl 8.9480 0.0000 0.0000

=====

## Q
10
Lattice="8.7030 -1.8387 0.0000 8.7030 1.8387 0.0000 -1.7275 0.0000 7.4776" Properties=species:S:1:pos:R:3 comment="Dy2Sc2CBr4Cl (GGA-PBE, relaxed)" m_tot_mub_per_cell=0.0 pbc="T T T"
Dy 2.2945 0.0000 0.5393
Dy 13.3840 0.0000 6.9383
Sc 8.3637 0.0000 1.4785
Sc 7.3148 0.0000 5.9990
C 0.0000 0.0000 0.0000
Br 5.4841 0.0000 1.4227
Br 4.8082 0.0000 4.8229
Br 10.8702 0.0000 2.6547
Br 10.1943 0.0000 6.0548
Cl -0.8638 0.0000 3.7388

=====

Short version: Q is the least stable of them.

=====

## P
10
Lattice="8.7006 -1.9037 0.0000 8.7006 1.9037 0.0000 -1.9435 0.0000 7.8922" Properties=species:S:1:pos:R:3 comment="Sm2Dy2CBr3Cl2 (GGA-PBE, relaxed)" m_tot_mub_per_cell=0.3 pbc="T T T"
Sm 2.3901 0.0000 0.6204
Sm 13.0675 0.0000 7.2718
Dy 8.2733 0.0000 1.5828
Dy 7.1843 0.0000 6.3094
C 0.0000 0.0000 0.0000
Br -0.9717 0.0000 3.9461
Br 4.5718 0.0000 5.0941
Br 10.8859 0.0000 2.7981
Cl 5.4670 0.0000 1.2934
Cl 9.9907 0.0000 6.5988

=====

## Q
10
Lattice="8.8932 -1.9221 0.0000 8.8932 1.9221 0.0000 -1.9319 0.0000 8.0378" Properties=species:S:1:pos:R:3 comment="Sm2Dy2CBr3Cl2 (GGA-PBE, relaxed)" m_tot_mub_per_cell=0.0 pbc="T T T"
Sm -0.3918 0.0000 1.6485
Sm 16.2463 0.0000 6.3893
Dy 4.6371 0.0000 7.4364
Dy 11.2175 0.0000 0.6014
C 8.8932 0.0000 0.0000
Br 1.4488 0.0000 6.7399
Br 7.9273 0.0000 4.0189
Br 14.4058 0.0000 1.2979
Cl 2.2941 0.0000 2.5253
Cl 13.5605 0.0000 5.5125

=====

Short version: P is the least stable of them.

=====

## P
10
Lattice="8.7958 -1.8767 0.0000 8.7958 1.8767 0.0000 -1.7915 0.0000 7.6145" Properties=species:S:1:pos:R:3 comment="Dy2Y2CBr2Cl3 (GGA-PBE, relaxed)" m_tot_mub_per_cell=0.1 pbc="T T T"
Dy 2.3225 0.0000 0.5967
Dy 13.4775 0.0000 7.0178
Y 8.4145 0.0000 1.6021
Y 7.3855 0.0000 6.0124
C 0.0000 0.0000 0.0000
Br 5.4704 0.0000 1.3637
Br 10.3297 0.0000 6.2508
Cl -0.8957 0.0000 3.8073
Cl 4.7963 0.0000 5.0595
Cl 11.0038 0.0000 2.5550

=====

## Q
10
Lattice="8.5899 -1.8804 0.0000 8.5899 1.8804 0.0000 -1.6996 0.0000 7.6899" Properties=species:S:1:pos:R:3 comment="Dy2Y2CBr2Cl3 (GGA-PBE, relaxed)" m_tot_mub_per_cell=0.0 pbc="T T T"
Dy 2.3228 0.0000 0.5684
Dy 13.1574 0.0000 7.1215
Y 8.1910 0.0000 1.6020
Y 7.2892 0.0000 6.0879
C 0.0000 0.0000 0.0000
Br 4.6115 0.0000 5.0006
Br 10.8687 0.0000 2.6893
Cl -0.8498 0.0000 3.8450
Cl 5.3732 0.0000 1.2346
Cl 10.1070 0.0000 6.4553

=====

Short version: Q is the least stable of them.

=====

## P
10
Lattice="8.5959 -1.8803 0.0000 8.5959 1.8803 0.0000 -1.7149 0.0000 7.6604" Properties=species:S:1:pos:R:3 comment="Dy2Y2CBr2Cl3 (GGA-PBE, relaxed)" m_tot_mub_per_cell=0.0 pbc="T T T"
Dy -0.4539 0.0000 2.2295
Dy 15.9309 0.0000 5.4309
Y 5.4100 0.0000 3.2580
Y 10.0670 0.0000 4.4024
C 7.7385 0.0000 3.8302
Br 1.4086 0.0000 6.5287
Br 14.0684 0.0000 1.1317
Cl 2.3624 0.0000 2.5843
Cl 8.5959 0.0000 0.0000
Cl 13.1146 0.0000 5.0761

=====

## Q
10
Lattice="8.7850 -1.8756 0.0000 8.7850 1.8756 0.0000 -1.8192 0.0000 7.5965" Properties=species:S:1:pos:R:3 comment="Dy2Y2CBr2Cl3 (GGA-PBE, relaxed)" m_tot_mub_per_cell=0.1 pbc="T T T"
Dy -0.3825 0.0000 1.5972
Dy -1.4367 0.0000 5.9993
Y 4.6384 0.0000 6.9913
Y 11.1124 0.0000 0.6051
C 8.7850 0.0000 0.0000
Br 1.5051 0.0000 6.2260
Br 14.2458 0.0000 1.3704
Cl 2.1893 0.0000 2.5725
Cl 7.8754 0.0000 3.7982
Cl 13.5616 0.0000 5.0240

=====

Short version: P is the least stable of them.